# Ba4MgPt | Alexandria | GGA-PBE | relaxed
data_Ba4MgPt
_space_group_name_H-M_alt 'F -4 3 m'
_space_group_IT_number 216
_space_group_name_Hall 'F -4 2 3'
_cell_length_a 9.981
_cell_length_b 9.981
_cell_length_c 9.981
_cell_angle_alpha 90.00
_cell_angle_beta 90.00
_cell_angle_gamma 90.00
loop_
_atom_site_label
_atom_site_type_symbol
_atom_site_fract_x
_atom_site_fract_y
_atom_site_fract_z
_atom_site_occupancy
Ba1 Ba 0.124 0.124 0.376 1
Mg1 Mg 0.000 0.000 0.000 1
Pt1 Pt 0.250 0.250 0.750 1
# - Calculated formation energy: 12.9 kcal/mol of atoms
# - ρ: 5.1 g cm⁻³
# - Uncorrected energy: -47.84 eV for the cell shown